# PBE-GGA LiCa2W, optimized geometry
data_LiCa2W
_cell_length_a 3.072
_cell_length_b 5.470
_cell_length_c 11.297
_cell_angle_alpha 90.00
_cell_angle_beta 90.00
_cell_angle_gamma 90.00
_space_group_name_H-M_alt 'P 1'
_space_group_IT_number 1
loop_
_space_group_symop_operation_xyz
'x,y,z'
loop_
_atom_site_label
_atom_site_type_symbol
_atom_site_fract_x
_atom_site_fract_y
_atom_site_fract_z
Li1 Li 0.000 0.000 0.000
Li2 Li 0.500 0.500 0.500
Ca1 Ca 0.000 0.000 0.449
Ca2 Ca 0.000 0.500 0.242
Ca3 Ca 0.500 0.000 0.742
Ca4 Ca 0.500 0.500 0.949
W1 W 0.000 0.500 0.701
W2 W 0.500 0.000 0.201
# Offset from the most stable computed form   123 meV per atom
# Magnetic moment   0.00 μB per cell
# Final energy   -3.94 eV per atom
# ΔE_f   777.5 meV per atom
# D(E_F)   8.10 states/eV per cell

---

# PBE-GGA ZrMo2P, optimized geometry
data_ZrMo2P
_cell_length_a 3.275
_cell_length_b 3.275
_cell_length_c 22.509
_cell_angle_alpha 90.00
_cell_angle_beta 90.00
_cell_angle_gamma 120.00
_space_group_name_H-M_alt 'P 1'
_space_group_IT_number 1
loop_
_space_group_symop_operation_xyz
'x,y,z'
loop_
_atom_site_label
_atom_site_type_symbol
_atom_site_fract_x
_atom_site_fract_y
_atom_site_fract_z
Zr1 Zr 0.000 0.000 0.000
Zr2 Zr 0.333 0.667 0.667
Zr3 Zr 0.667 0.333 0.333
Mo1 Mo 0.000 0.000 0.233
Mo2 Mo 0.000 0.000 0.767
Mo3 Mo 0.333 0.667 0.434
Mo4 Mo 0.333 0.667 0.899
Mo5 Mo 0.667 0.333 0.101
Mo6 Mo 0.667 0.333 0.566
P1 P 0.000 0.000 0.500
P2 P 0.333 0.667 0.167
P3 P 0.667 0.333 0.833
# Magnetic moment   0.00 μB per cell
# Final energy   -8.98 eV per atom
# ΔE_f   -75.5 meV per atom
# D(E_F)   9.37 states/eV per cell

---

# PBE-GGA TmMnGe2Os, optimized geometry
data_TmMnGe2Os
_cell_length_a 4.028
_cell_length_b 4.028
_cell_length_c 10.631
_cell_angle_alpha 90.00
_cell_angle_beta 90.00
_cell_angle_gamma 90.00
_space_group_name_H-M_alt 'P 1'
_space_group_IT_number 1
loop_
_space_group_symop_operation_xyz
'x,y,z'
loop_
_atom_site_label
_atom_site_type_symbol
_atom_site_fract_x
_atom_site_fract_y
_atom_site_fract_z
Tm1 Tm 0.000 0.000 0.000
Tm2 Tm 0.500 0.500 0.500
Mn1 Mn 0.000 0.500 0.750
Mn2 Mn 0.500 0.000 0.250
Ge1 Ge 0.000 0.000 0.383
Ge2 Ge 0.000 0.000 0.617
Ge3 Ge 0.500 0.500 0.117
Ge4 Ge 0.500 0.500 0.883
Os1 Os 0.000 0.500 0.250
Os2 Os 0.500 0.000 0.750
# Magnetic moment   5.53 μB per cell
# Final energy   -7.27 eV per atom
# ΔE_f   -446.1 meV per atom
# D(E_F)   2.18 states/eV per cell

---

# PBE-GGA VCuC2, optimized geometry
data_VCuC2
_cell_length_a 5.205
_cell_length_b 5.205
_cell_length_c 5.205
_cell_angle_alpha 90.00
_cell_angle_beta 90.00
_cell_angle_gamma 90.00
_space_group_name_H-M_alt 'P 1'
_space_group_IT_number 1
loop_
_space_group_symop_operation_xyz
'x,y,z'
loop_
_atom_site_label
_atom_site_type_symbol
_atom_site_fract_x
_atom_site_fract_y
_atom_site_fract_z
V1 V 0.000 0.000 0.000
V2 V 0.000 0.500 0.500
V3 V 0.500 0.000 0.500
V4 V 0.500 0.500 0.000
Cu1 Cu 0.000 0.000 0.500
Cu2 Cu 0.000 0.500 0.000
Cu3 Cu 0.500 0.000 0.000
Cu4 Cu 0.500 0.500 0.500
C1 C 0.250 0.250 0.250
C2 C 0.250 0.250 0.750
C3 C 0.250 0.750 0.250
C4 C 0.250 0.750 0.750
C5 C 0.750 0.250 0.250
C6 C 0.750 0.250 0.750
C7 C 0.750 0.750 0.250
C8 C 0.750 0.750 0.750
# Offset from the most stable computed form   354 meV per atom
# Magnetic moment   0.00 μB per cell
# Final energy   -6.69 eV per atom
# ΔE_f   1224.5 meV per atom
# D(E_F)   12.36 states/eV per cell

---

# PBE-GGA Th3Be2Rh9, optimized geometry
data_Th3Be2Rh9
_cell_length_a 6.015
_cell_length_b 6.015
_cell_length_c 7.352
_cell_angle_alpha 90.00
_cell_angle_beta 90.00
_cell_angle_gamma 120.00
_space_group_name_H-M_alt 'P 1'
_space_group_IT_number 1
loop_
_space_group_symop_operation_xyz
'x,y,z'
loop_
_atom_site_label
_atom_site_type_symbol
_atom_site_fract_x
_atom_site_fract_y
_atom_site_fract_z
Th1 Th 0.000 0.000 0.000
Th2 Th 0.333 0.667 0.335
Th3 Th 0.667 0.333 0.665
Be1 Be 0.333 0.667 0.813
Be2 Be 0.667 0.333 0.187
Rh1 Rh 0.000 0.500 0.000
Rh2 Rh 0.156 0.313 0.657
Rh3 Rh 0.156 0.844 0.657
Rh4 Rh 0.313 0.156 0.343
Rh5 Rh 0.500 0.000 0.000
Rh6 Rh 0.500 0.500 0.000
Rh7 Rh 0.687 0.844 0.657
Rh8 Rh 0.844 0.156 0.343
Rh9 Rh 0.844 0.687 0.343
# Magnetic moment   0.00 μB per cell
# Final energy   -7.66 eV per atom
# ΔE_f   -808.2 meV per atom
# D(E_F)   12.82 states/eV per cell

---

# PBE-GGA V6IrC, optimized geometry
data_V6IrC
_cell_length_a 4.394
_cell_length_b 4.986
_cell_length_c 5.034
_cell_angle_alpha 96.60
_cell_angle_beta 111.16
_cell_angle_gamma 91.20
_space_group_name_H-M_alt 'P 1'
_space_group_IT_number 1
loop_
_space_group_symop_operation_xyz
'x,y,z'
loop_
_atom_site_label
_atom_site_type_symbol
_atom_site_fract_x
_atom_site_fract_y
_atom_site_fract_z
V1 V 0.063 0.293 0.151
V2 V 0.199 0.850 0.431
V3 V 0.422 0.410 0.745
V4 V 0.578 0.590 0.255
V5 V 0.801 0.150 0.569
V6 V 0.937 0.707 0.849
Ir1 Ir 0.500 0.000 0.000
C1 C 0.000 0.500 0.500
# Magnetic moment   0.00 μB per cell
# Final energy   -9.40 eV per atom
# ΔE_f   -298.2 meV per atom
# D(E_F)   4.42 states/eV per cell

---

# PBE-GGA CsHgPt, optimized geometry
data_CsHgPt
_cell_length_a 4.637
_cell_length_b 6.381
_cell_length_c 7.696
_cell_angle_alpha 100.68
_cell_angle_beta 107.50
_cell_angle_gamma 90.07
_space_group_name_H-M_alt 'P 1'
_space_group_IT_number 1
loop_
_space_group_symop_operation_xyz
'x,y,z'
loop_
_atom_site_label
_atom_site_type_symbol
_atom_site_fract_x
_atom_site_fract_y
_atom_site_fract_z
Cs1 Cs 0.124 0.373 0.248
Cs2 Cs 0.876 0.627 0.752
Hg1 Hg 0.417 0.135 0.833
Hg2 Hg 0.583 0.865 0.167
Pt1 Pt 0.222 0.946 0.444
Pt2 Pt 0.778 0.054 0.556
# Offset from the most stable computed form   0 meV per atom
# Magnetic moment   0.00 μB per cell
# Final energy   -2.56 eV per atom
# ΔE_f   -157.9 meV per atom
# D(E_F)   0.97 states/eV per cell

---

# PBE-GGA Tm4Hg2Pb3, optimized geometry
data_Tm4Hg2Pb3
_cell_length_a 5.377
_cell_length_b 5.377
_cell_length_c 10.551
_cell_angle_alpha 96.85
_cell_angle_beta 96.85
_cell_angle_gamma 53.41
_space_group_name_H-M_alt 'P 1'
_space_group_IT_number 1
loop_
_space_group_symop_operation_xyz
'x,y,z'
loop_
_atom_site_label
_atom_site_type_symbol
_atom_site_fract_x
_atom_site_fract_y
_atom_site_fract_z
Tm1 Tm 0.000 0.000 0.172
Tm2 Tm 0.000 0.000 0.828
Tm3 Tm 0.330 0.330 0.613
Tm4 Tm 0.670 0.670 0.387
Hg1 Hg 0.343 0.343 0.289
Hg2 Hg 0.657 0.657 0.711
Pb1 Pb 0.000 0.000 0.500
Pb2 Pb 0.336 0.336 0.940
Pb3 Pb 0.664 0.664 0.060
# Magnetic moment   0.00 μB per cell
# Final energy   -3.60 eV per atom
# ΔE_f   -312.8 meV per atom
# D(E_F)   6.47 states/eV per cell

---

# PBE-GGA CeYMgTc, optimized geometry
data_CeYMgTc
_cell_length_a 7.166
_cell_length_b 7.166
_cell_length_c 7.166
_cell_angle_alpha 90.00
_cell_angle_beta 90.00
_cell_angle_gamma 90.00
_space_group_name_H-M_alt 'P 1'
_space_group_IT_number 1
loop_
_space_group_symop_operation_xyz
'x,y,z'
loop_
_atom_site_label
_atom_site_type_symbol
_atom_site_fract_x
_atom_site_fract_y
_atom_site_fract_z
Ce1 Ce 0.000 0.000 0.000
Ce2 Ce 0.000 0.500 0.500
Ce3 Ce 0.500 0.000 0.500
Ce4 Ce 0.500 0.500 0.000
Y1 Y 0.000 0.000 0.500
Y2 Y 0.000 0.500 0.000
Y3 Y 0.500 0.000 0.000
Y4 Y 0.500 0.500 0.500
Mg1 Mg 0.250 0.250 0.250
Mg2 Mg 0.250 0.750 0.750
Mg3 Mg 0.750 0.250 0.750
Mg4 Mg 0.750 0.750 0.250
Tc1 Tc 0.250 0.250 0.750
Tc2 Tc 0.250 0.750 0.250
Tc3 Tc 0.750 0.250 0.250
Tc4 Tc 0.750 0.750 0.750
# Magnetic moment   0.00 μB per cell
# Final energy   -6.05 eV per atom
# ΔE_f   37.7 meV per atom
# D(E_F)   24.73 states/eV per cell

---

# PBE-GGA BePbBr2, optimized geometry
data_BePbBr2
_cell_length_a 5.849
_cell_length_b 3.332
_cell_length_c 6.700
_cell_angle_alpha 90.00
_cell_angle_beta 108.26
_cell_angle_gamma 90.00
_space_group_name_H-M_alt 'P 1'
_space_group_IT_number 1
loop_
_space_group_symop_operation_xyz
'x,y,z'
loop_
_atom_site_label
_atom_site_type_symbol
_atom_site_fract_x
_atom_site_fract_y
_atom_site_fract_z
Be1 Be 0.000 0.000 0.000
Pb1 Pb 0.500 0.000 0.000
Br1 Br 0.156 0.500 0.250
Br2 Br 0.844 0.500 0.750
# Offset from the most stable computed form   240 meV per atom
# Magnetic moment   0.00 μB per cell
# Final energy   -2.88 eV per atom
# ΔE_f (raw)   -0.19 eV/atom
# D(E_F)   2.03 states/eV per cell

---

# PBE-GGA NdTlGa, optimized geometry
data_NdTlGa
_cell_length_a 3.257
_cell_length_b 3.257
_cell_length_c 17.164
_cell_angle_alpha 90.00
_cell_angle_beta 90.00
_cell_angle_gamma 90.00
_space_group_name_H-M_alt 'P 1'
_space_group_IT_number 1
loop_
_space_group_symop_operation_xyz
'x,y,z'
loop_
_atom_site_label
_atom_site_type_symbol
_atom_site_fract_x
_atom_site_fract_y
_atom_site_fract_z
Nd1 Nd 0.000 0.000 0.000
Nd2 Nd 0.500 0.500 0.500
Tl1 Tl 0.000 0.000 0.809
Tl2 Tl 0.500 0.500 0.309
Ga1 Ga 0.000 0.000 0.176
Ga2 Ga 0.500 0.500 0.676
# Offset from the most stable computed form   688 meV per atom
# Magnetic moment   0.00 μB per cell
# Final energy   -3.11 eV per atom
# ΔE_f   279.6 meV per atom
# D(E_F)   5.30 states/eV per cell

---

# PBE-GGA ZnMoW2, optimized geometry
data_ZnMoW2
_cell_length_a 2.650
_cell_length_b 4.323
_cell_length_c 5.516
_cell_angle_alpha 90.00
_cell_angle_beta 90.00
_cell_angle_gamma 90.00
_space_group_name_H-M_alt 'P 1'
_space_group_IT_number 1
loop_
_space_group_symop_operation_xyz
'x,y,z'
loop_
_atom_site_label
_atom_site_type_symbol
_atom_site_fract_x
_atom_site_fract_y
_atom_site_fract_z
Zn1 Zn 0.000 0.000 0.000
Mo1 Mo 0.500 0.500 0.243
W1 W 0.000 0.000 0.500
W2 W 0.500 0.500 0.753
# Magnetic moment   0.00 μB per cell
# Final energy   -9.21 eV per atom
# ΔE_f   290.2 meV per atom
# D(E_F)   2.30 states/eV per cell